10
Lattice="7.241 0.000 0.000 0.000 7.241 0.000 0.000 0.000 4.441" Properties=species:S:1:pos:R:3 comment="Y2V2Pb (GGA-PBE, relaxed)" magnetic_moment_mub_per_cell=0.0 energy_ev_per_cell=-68.8 sg="P4/mbm, No. 127" e_form_ev_per_atom=0.09 pbc="T T T"
Pb 0.000 0.000 0.000
Pb 3.620 3.620 0.000
Y 1.360 4.981 2.221
Y 4.981 5.881 2.221
Y 5.881 2.260 2.221
Y 2.260 1.360 2.221
V 2.943 6.564 0.000
V 6.564 4.298 0.000
V 4.298 0.677 0.000
V 0.677 2.943 0.000